# 1
Entry from Alexandria via LeMat-Bulk: GdMgNiAu after structural relaxation (PBE).

Output
Spin magnetization   7.19 μB/f.u.
Formation energy   -0.460 eV/atom

a b c (Å): 4.8014 4.8014 4.8014
angles (deg): 60.00 60.00 60.00
With the nearest neighbours (Å) after each atom.
Fractional coordinates of all 4 atoms:
Au: 0.5000 0.5000 0.5000  4 Mg 2.94, 4 Gd 2.94
Ni: 0.0000 0.0000 0.0000  4 Gd 2.94, 4 Mg 2.94
Mg: 0.7500 0.7500 0.7500  4 Au 2.94, 4 Ni 2.94
Gd: 0.2500 0.2500 0.2500  4 Ni 2.94, 4 Au 2.94

# 2
Entry from Alexandria via LeMat-Bulk: GdMgPbAu after structural relaxation (PBE).

Output
Spin magnetization   6.97 μB/f.u.
Formation energy   -0.526 eV/atom

a b c (Å): 5.1406 5.1406 5.1406
angles (deg): 60.00 60.00 60.00
With the nearest neighbours (Å) after each atom.
Fractional coordinates of all 4 atoms:
Gd: 0.7500 0.7500 0.7500  4 Pb 3.15, 4 Au 3.15
Pb: 0.5000 0.5000 0.5000  4 Gd 3.15, 4 Mg 3.15
Mg: 0.2500 0.2500 0.2500  4 Pb 3.15, 4 Au 3.15
Au: 0.0000 0.0000 0.0000  4 Gd 3.15, 4 Mg 3.15

# 3
Entry from Alexandria via LeMat-Bulk: PrGdMgAu after structural relaxation (PBE).

Output
Spin magnetization   7.65 μB/f.u.
Formation energy   -0.382 eV/atom

a b c (Å): 5.3158 5.3158 5.3158
angles (deg): 60.00 60.00 60.00
With the nearest neighbours (Å) after each atom.
Fractional coordinates of all 4 atoms:
Au: 0.5000 0.5000 0.5000  4 Pr 3.26, 4 Gd 3.26
Mg: 0.0000 0.0000 0.0000  4 Gd 3.26, 4 Pr 3.26
Pr: 0.2500 0.2500 0.2500  4 Mg 3.26, 4 Au 3.26
Gd: 0.7500 0.7500 0.7500  4 Mg 3.26, 4 Au 3.26

# 4
Entry from Alexandria via LeMat-Bulk: GdMgPtAu after structural relaxation (PBE).

Output
Spin magnetization   7.12 μB/f.u.
Formation energy   -0.860 eV/atom

a b c (Å): 4.8679 4.8679 4.8679
angles (deg): 60.00 60.00 60.00
With the nearest neighbours (Å) after each atom.
Fractional coordinates of all 4 atoms:
Gd: 0.2500 0.2500 0.2500  4 Pt 2.98, 4 Au 2.98
Pt: 0.5000 0.5000 0.5000  4 Gd 2.98, 4 Mg 2.98
Au: 0.0000 0.0000 0.0000  4 Mg 2.98, 4 Gd 2.98
Mg: 0.7500 0.7500 0.7500  4 Au 2.98, 4 Pt 2.98